A relaxed structure of La2AgAu, computed with PBEsol.

## Properties
polymorph energy (0 for the lowest one)	25	meV/atom
SG	Fm-3m (225)

Cell and atoms, written as POSCAR:
```
La2AgAu
1.0
-3.402 3.802 -1.308
-3.281 1.959 3.625
0.698 4.896 1.812
La Au Ag
2 1 1
Direct
0.250 0.250 0.250
0.750 0.750 0.750
0.000 0.000 0.000
0.500 0.500 0.500
```

***

A relaxed structure of LaAgAu4, computed with PBEsol.

## Properties
SG	F-43m (216)

Cell and atoms, written as POSCAR:
```
LaAgAu4
1.0
-5.382 0.352 1.110
-3.658 0.109 -4.114
-3.282 -4.332 -0.881
Au La Ag
4 1 1
Direct
0.374 0.374 0.877
0.374 0.877 0.374
0.374 0.374 0.374
0.877 0.374 0.374
0.750 0.750 0.750
0.000 0.000 0.000
```

***

A relaxed structure of LaAgAu3, computed with PBEsol.

## Properties
SG	Pm-3m (221)

Cell and atoms, written as POSCAR:
```
LaAgAu3
1.0
5.466 0.000 0.000
0.000 5.466 0.000
0.000 0.000 5.466
Au Ag La
3 1 1
Direct
0.000 0.000 0.500
0.000 0.500 0.000
0.500 0.000 0.000
0.500 0.500 0.500
0.000 0.000 0.000
```

***

Number 1: energy relative to the elements -483 meV per atom, DOS at the Fermi energy 3.597 states/eV per cell. Number 2: energy relative to the elements -468 meV per atom, DOS at the Fermi energy 2.956 states/eV per cell. Number 3: energy relative to the elements 762 meV per atom, DOS at the Fermi energy 1.811 states/eV per cell.